Entry 1:
VASP calculation (PBE) on a relaxed Eu2Mn5Al12 crystal.

Lattice parameters (Å, degrees): 6.833 6.833 6.833 83.46 83.46 83.46
Sites, in units of the cell vectors:
Eu1 0.157 0.157 0.157
Eu2 0.843 0.843 0.843
Mn1 0.000 0.500 0.500
Mn2 0.401 0.401 0.401
Mn3 0.500 0.000 0.500
Mn4 0.500 0.500 0.000
Mn5 0.599 0.599 0.599
Al1 0.163 0.163 0.620
Al2 0.163 0.620 0.163
Al3 0.219 0.500 0.781
Al4 0.219 0.781 0.500
Al5 0.380 0.837 0.837
Al6 0.500 0.219 0.781
Al7 0.500 0.781 0.219
Al8 0.620 0.163 0.163
Al9 0.781 0.219 0.500
Al10 0.781 0.500 0.219
Al11 0.837 0.380 0.837
Al12 0.837 0.837 0.380

Values from the calculation:
calculated volume	16.49	A^3/atom
N(E_F)	22.7	states/eV/f.u.
E_form	-475.7	kJ/mol of formula units
electronic total energy	-116.2	eV per cell

***

Entry 2:
VASP calculation (PBE) on a relaxed PmTcB4 crystal.

Lattice parameters (Å, degrees): 4.861 4.861 4.861 141.86 111.91 80.81
Sites, in units of the cell vectors:
Pm1 0.000 0.000 0.000
Tc1 0.500 0.500 0.000
B1 0.091 0.754 0.338
B2 0.416 0.754 0.662
B3 0.584 0.246 0.338
B4 0.909 0.246 0.662

Values from the calculation:
calculated volume	10.66	A^3/atom
N(E_F)	1.9	states/eV/f.u.
E_form	-97.4	kJ/mol of formula units
electronic total energy	-42.8	eV per cell

***

Entry 3:
VASP calculation (PBE) on a relaxed Hg5Te3 crystal.

Lattice parameters (Å, degrees): 8.122 8.122 4.365 90.00 90.00 120.94
Sites, in units of the cell vectors:
Hg1 0.000 0.000 0.000
Hg2 0.000 0.500 0.000
Hg3 0.256 0.256 0.500
Hg4 0.500 0.000 0.000
Hg5 0.744 0.744 0.500
Te1 0.206 0.794 0.500
Te2 0.500 0.500 0.000
Te3 0.794 0.206 0.500

Values from the calculation:
calculated volume	30.87	A^3/atom
N(E_F)	3.1	states/eV/f.u.
formation energy without anion corrections	55	meV per atom
electronic total energy	-10.5	eV per cell

***

Entry 4:
VASP calculation (PBE) on a relaxed La2YSc crystal.

Lattice parameters (Å, degrees): 3.745 4.609 7.521 90.00 90.00 90.00
Sites, in units of the cell vectors:
La1 0.000 0.000 0.235
La2 0.000 0.000 0.765
Y1 0.500 0.500 0.500
Sc1 0.500 0.500 0.000

Values from the calculation:
calculated volume	32.46	A^3/atom
N(E_F)	4.7	states/eV/f.u.
E_form	17.1	kJ/mol of formula units
electronic total energy	-22.5	eV per cell

***

Entry 5:
VASP calculation (PBE) on a relaxed LiHfC crystal.

Lattice parameters (Å, degrees): 3.731 3.731 3.731 60.00 60.00 60.00
Sites, in units of the cell vectors:
Li1 0.000 0.000 0.000
Hf1 0.500 0.500 0.500
C1 0.750 0.750 0.750

Values from the calculation:
calculated volume	12.24	A^3/atom
N(E_F)	1.2	states/eV/f.u.
E_form	-67.6	kJ/mol of formula units
electronic total energy	-21.8	eV per cell

***

Entry 6:
VASP calculation (PBE) on a relaxed TlReCl2 crystal.

Lattice parameters (Å, degrees): 2.975 3.081 10.579 90.00 90.00 90.00
Sites, in units of the cell vectors:
Tl1 0.000 0.000 0.000
Re1 0.500 0.000 0.500
Cl1 0.500 0.500 0.328
Cl2 0.500 0.500 0.672

Values from the calculation:
calculated volume	24.24	A^3/atom
N(E_F)	2.2	states/eV/f.u.
formation energy without anion corrections	149	meV per atom
electronic total energy	-17.9	eV per cell